*1*
Compound: Mg16ScAl12
Source: Alexandria via LeMat-Bulk
Functional: SCAN
Structure: PBEsol geometry

Results
Magnetic moment (μB/cell): 0.00

Unit cell a=14.9056 b=14.9056 c=8.8649 alpha=90.00 beta=90.00 gamma=120.00
Space group R3m (No. 160, hexagonal axes)
One atom of each set of equivalent atoms:
1 Mg 0.0000 0.0000 0.0000 [3 per cell]
2 Mg 0.0339 0.3606 0.3577 [18 per cell]
3 Mg 0.1056 0.5528 0.5469 [9 per cell]
4 Mg 0.1085 0.2170 0.4918 [9 per cell]
5 Mg 0.1991 0.3982 0.1132 [9 per cell]
6 Sc 0.0000 0.0000 0.3671 [3 per cell]
7 Al 0.0012 0.1814 0.1837 [18 per cell]
8 Al 0.1223 0.0612 0.6828 [9 per cell]
9 Al 0.2120 0.4241 0.5955 [9 per cell]


*2*
Compound: Mg16ScAl12
Source: Alexandria via LeMat-Bulk
Functional: SCAN
Structure: PBEsol geometry

Results
Magnetic moment (μB/cell): 0.00

Unit cell a=10.431 b=10.431 c=10.431 alpha=90.00 beta=90.00 gamma=90.00
Space group I-43m (No. 217)
One atom of each set of equivalent atoms:
1 Mg 0.040 0.358 0.358 [24 per cell]
2 Mg 0.175 0.175 0.825 [8 per cell]
3 Sc 0.000 0.000 0.000 [2 per cell]
4 Al 0.090 0.090 0.276 [24 per cell]


*3*
Compound: Mg16ScAl12
Source: Alexandria via LeMat-Bulk
Functional: SCAN
Structure: PBEsol geometry

Results
Magnetic moment (μB/cell): 0.00

Unit cell a=10.469 b=14.862 c=8.948 alpha=90.00 beta=124.67 gamma=90.00
Space group Cm (No. 8)
One atom of each set of equivalent atoms:
1 Mg 0.000 0.000 0.000 [2 per cell]
2 Mg 0.004 0.000 0.353 [2 per cell]
3 Mg 0.057 0.342 0.399 [4 per cell]
4 Mg 0.153 0.500 0.650 [2 per cell]
5 Mg 0.159 0.159 0.605 [4 per cell]
6 Mg 0.167 0.171 0.995 [4 per cell]
7 Mg 0.299 0.298 0.316 [4 per cell]
8 Mg 0.401 0.000 0.722 [2 per cell]
9 Mg 0.458 0.145 0.004 [4 per cell]
10 Mg 0.485 0.198 0.685 [4 per cell]
11 Sc 0.184 0.500 0.279 [2 per cell]
12 Al 0.003 0.182 0.190 [4 per cell]
13 Al 0.183 0.000 0.821 [2 per cell]
14 Al 0.223 0.410 0.004 [4 per cell]
15 Al 0.272 0.092 0.368 [4 per cell]
16 Al 0.317 0.317 0.819 [4 per cell]
17 Al 0.372 0.000 0.186 [2 per cell]
18 Al 0.403 0.408 0.628 [4 per cell]


Which is most stable? The ranking, best first, is *2*, *1*, *3*.


*1*
Compound: MgAl2Se
Source: Alexandria via LeMat-Bulk
Functional: SCAN
Structure: PBEsol geometry

Results
Magnetic moment (μB/cell): 0.00

Unit cell a=3.4558 b=3.4558 c=23.3587 alpha=90.00 beta=90.00 gamma=120.00
Space group R-3m (No. 166, hexagonal axes)
One atom of each set of equivalent atoms:
1 Mg 0.0000 0.0000 0.0000 [3 per cell]
2 Al 0.0000 0.0000 0.2412 [6 per cell]
3 Se 0.0000 0.0000 0.5000 [3 per cell]


*2*
Compound: MgAl2Se
Source: Alexandria via LeMat-Bulk
Functional: SCAN
Structure: PBEsol geometry

Results
Magnetic moment (μB/cell): 0.00

Unit cell a=3.564 b=5.438 c=4.096 alpha=90.00 beta=90.44 gamma=90.00
Space group P2/m (No. 10)
One atom of each set of equivalent atoms:
1 Mg 0.000 0.000 0.000 [1 per cell]
2 Al 0.252 0.500 0.748 [2 per cell]
3 Se 0.500 0.000 0.500 [1 per cell]


Which is most stable? The ranking, best first, is *2*, *1*.


*1*
Compound: MgAlSi2
Source: Alexandria via LeMat-Bulk
Functional: SCAN
Structure: PBEsol geometry

Results
Magnetic moment (μB/cell): 0.00

Unit cell a=2.852 b=4.076 c=5.586 alpha=90.00 beta=90.00 gamma=90.00
Space group Pmm2 (No. 25)
One atom of each set of equivalent atoms:
1 Mg 0.000 0.000 0.000 [1 per cell]
2 Al 0.500 0.500 0.707 [1 per cell]
3 Si 0.000 0.000 0.499 [1 per cell]
4 Si 0.500 0.500 0.229 [1 per cell]


*2*
Compound: MgAlSi2
Source: Alexandria via LeMat-Bulk
Functional: SCAN
Structure: PBEsol geometry

Results
Magnetic moment (μB/cell): 0.00

Unit cell a=3.310 b=3.310 c=6.104 alpha=90.00 beta=90.00 gamma=90.00
Space group P4mm (No. 99)
One atom of each set of equivalent atoms:
1 Mg 0.000 0.000 0.000 [1 per cell]
2 Al 0.500 0.500 0.705 [1 per cell]
3 Si 0.000 0.000 0.463 [1 per cell]
4 Si 0.500 0.500 0.288 [1 per cell]


Which is most stable? The ranking, best first, is *2*, *1*.


*1*
Compound: Mg2TaAl
Source: Alexandria via LeMat-Bulk
Functional: SCAN
Structure: PBEsol geometry

Results
Magnetic moment (μB/cell): 0.43

Unit cell a=2.864 b=2.864 c=9.128 alpha=90.00 beta=90.00 gamma=90.00
Space group P4mm (No. 99)
One atom of each set of equivalent atoms:
1 Mg 0.000 0.000 0.000 [1 per cell]
2 Mg 0.500 0.500 0.282 [1 per cell]
3 Ta 0.000 0.000 0.534 [1 per cell]
4 Al 0.500 0.500 0.752 [1 per cell]


*2*
Compound: Mg2TaAl
Source: Alexandria via LeMat-Bulk
Functional: SCAN
Structure: PBEsol geometry

Results
Magnetic moment (μB/cell): 0.00

Unit cell a=3.041 b=4.769 c=4.984 alpha=90.00 beta=90.00 gamma=90.00
Space group Pmmm (No. 47)
One atom of each set of equivalent atoms:
1 Mg 0.000 0.000 0.000 [1 per cell]
2 Mg 0.500 0.500 0.000 [1 per cell]
3 Ta 0.000 0.500 0.500 [1 per cell]
4 Al 0.500 0.000 0.500 [1 per cell]


Which is most stable? The ranking, best first, is *1*, *2*.


*1*
Compound: MgTa2Al
Source: Alexandria via LeMat-Bulk
Functional: SCAN
Structure: PBEsol geometry

Results
Magnetic moment (μB/cell): 0.00

Unit cell a=2.835 b=2.835 c=8.682 alpha=90.00 beta=90.00 gamma=90.00
Space group P4/mmm (No. 123)
One atom of each set of equivalent atoms:
1 Mg 0.000 0.000 0.000 [1 per cell]
2 Ta 0.500 0.500 0.273 [2 per cell]
3 Al 0.000 0.000 0.500 [1 per cell]


*2*
Compound: MgTa2Al
Source: Alexandria via LeMat-Bulk
Functional: SCAN
Structure: PBEsol geometry

Results
Magnetic moment (μB/cell): 0.00

Unit cell a=5.621 b=8.766 c=2.804 alpha=90.00 beta=90.00 gamma=90.00
Space group Cmmm (No. 65)
One atom of each set of equivalent atoms:
1 Mg 0.000 0.000 0.000 [2 per cell]
2 Ta 0.250 0.250 0.500 [4 per cell]
3 Al 0.000 0.500 0.000 [2 per cell]


Which is most stable? The ranking, best first, is *1*, *2*.


*1*
Compound: MgAlTc2
Source: Alexandria via LeMat-Bulk
Functional: SCAN
Structure: PBEsol geometry

Results
Magnetic moment (μB/cell): 0.00

Unit cell a=3.160 b=4.280 c=4.328 alpha=90.00 beta=90.00 gamma=90.00
Space group Pmmm (No. 47)
One atom of each set of equivalent atoms:
1 Mg 0.000 0.000 0.000 [1 per cell]
2 Al 0.500 0.000 0.500 [1 per cell]
3 Tc 0.000 0.500 0.500 [1 per cell]
4 Tc 0.500 0.500 0.000 [1 per cell]


*2*
Compound: MgAlTc2
Source: Alexandria via LeMat-Bulk
Functional: SCAN
Structure: PBEsol geometry

Results
Magnetic moment (μB/cell): 0.00

Unit cell a=5.388 b=8.346 c=2.627 alpha=90.00 beta=90.00 gamma=90.00
Space group Cmmm (No. 65)
One atom of each set of equivalent atoms:
1 Mg 0.000 0.000 0.000 [2 per cell]
2 Al 0.000 0.500 0.000 [2 per cell]
3 Tc 0.250 0.250 0.500 [4 per cell]


Which is most stable? The ranking, best first, is *1*, *2*.


*1*
Compound: TmMg16Al12
Source: Alexandria via LeMat-Bulk
Functional: SCAN
Structure: PBEsol geometry

Results
Magnetic moment (μB/cell): 0.00

Unit cell a=14.9464 b=14.9464 c=8.9017 alpha=90.00 beta=90.00 gamma=120.00
Space group R3m (No. 160, hexagonal axes)
One atom of each set of equivalent atoms:
1 Tm 0.0000 0.0000 0.0000 [3 per cell]
2 Mg 0.0000 0.0000 0.6279 [3 per cell]
3 Mg 0.0333 0.3604 0.9887 [18 per cell]
4 Mg 0.1049 0.5524 0.1781 [9 per cell]
5 Mg 0.1099 0.2198 0.1254 [9 per cell]
6 Mg 0.1993 0.3987 0.7442 [9 per cell]
7 Al 0.0015 0.1823 0.8138 [18 per cell]
8 Al 0.1226 0.0613 0.3147 [9 per cell]
9 Al 0.2126 0.4253 0.2267 [9 per cell]


*2*
Compound: TmMg16Al12
Source: Alexandria via LeMat-Bulk
Functional: SCAN
Structure: PBEsol geometry

Results
Magnetic moment (μB/cell): 0.00

Unit cell a=10.459 b=10.459 c=10.459 alpha=90.00 beta=90.00 gamma=90.00
Space group I-43m (No. 217)
One atom of each set of equivalent atoms:
1 Tm 0.000 0.000 0.000 [2 per cell]
2 Mg 0.039 0.358 0.358 [24 per cell]
3 Mg 0.178 0.178 0.822 [8 per cell]
4 Al 0.090 0.090 0.277 [24 per cell]


Which is most stable? The ranking, best first, is *2*, *1*.


*1*
Compound: YMgAl
Source: Alexandria via LeMat-Bulk
Functional: SCAN
Structure: PBEsol geometry

Results
Magnetic moment (μB/cell): 0.00

Unit cell a=6.791 b=6.791 c=6.791 alpha=90.00 beta=90.00 gamma=90.00
Space group F-43m (No. 216)
One atom of each set of equivalent atoms:
1 Y 0.000 0.000 0.000 [4 per cell]
2 Mg 0.000 0.000 0.500 [4 per cell]
3 Al 0.250 0.250 0.250 [4 per cell]


*2*
Compound: YMgAl
Source: Alexandria via LeMat-Bulk
Functional: SCAN
Structure: PBEsol geometry

Results
Magnetic moment (μB/cell): 0.00

Unit cell a=7.3036 b=7.3036 c=4.5044 alpha=90.00 beta=90.00 gamma=120.00
Space group P-62m (No. 189)
One atom of each set of equivalent atoms:
1 Y 0.0000 0.4331 0.0000 [3 per cell]
2 Mg 0.0000 0.7583 0.5000 [3 per cell]
3 Al 0.0000 0.0000 0.0000 [1 per cell]
4 Al 0.3333 0.6667 0.5000 [2 per cell]


Which is most stable? The ranking, best first, is *2*, *1*.